{
  "formula": "NaCr2Tc",
  "functional": "GGA-PBE",
  "state": "optimized geometry",
  "lattice_angstrom": [[-1.6051, 1.3927, 3.8361], [-4.1675, 1.3368, 0.2776], [-2.9435, -2.4314, 2.1578]],
  "species": ["Cr", "Tc", "Cr", "Na"],
  "fractional_positions": [[0.2500, 0.2500, 0.2500], [0.5000, 0.5000, 0.5000], [0.7500, 0.7500, 0.7500], [0.0000, 0.0000, 0.0000]],
  "rho_g_cm3": 6.3,
  "total_energy_ev_per_atom": -6.897,
  "delta_e_f_ev_per_atom": 0.8357,
  "polymorph_energy_kj_per_mol_atoms": 0.0,
  "m_tot_mub_per_cell": 3.97
}